## one
Entry from the Alexandria database: Cs3Ga2Sb4 after structural relaxation (GGA-PBE).

Computed properties:
SG: P-1 (2)

Cell lengths 4.538, 8.950, 10.565 Å; angles 118.20, 102.42, 90.00 degrees
Atoms (fractional coordinates):
Cs 0.149 0.548 0.299
Cs 0.851 0.452 0.701
Cs 0.000 0.000 0.000
Ga 0.671 0.917 0.344
Ga 0.329 0.083 0.656
Sb 0.522 0.674 0.044
Sb 0.201 0.120 0.403
Sb 0.478 0.326 0.956
Sb 0.799 0.880 0.597

---

## two
Entry from the Alexandria database: Cs3Ga2Sb4 after structural relaxation (GGA-PBE).

Computed properties:
SG: C2/c (15)

Cell lengths 8.250, 9.925, 9.925 Å; angles 77.95, 79.02, 79.02 degrees
Atoms (fractional coordinates):
Cs 0.923 0.993 0.252
Cs 0.577 0.748 0.007
Cs 0.077 0.007 0.748
Cs 0.423 0.252 0.993
Cs 0.250 0.592 0.408
Cs 0.750 0.408 0.592
Ga 0.514 0.179 0.407
Ga 0.986 0.593 0.821
Ga 0.486 0.821 0.593
Ga 0.014 0.407 0.179
Sb 0.405 0.964 0.330
Sb 0.095 0.670 0.036
Sb 0.595 0.036 0.670
Sb 0.905 0.330 0.964
Sb 0.172 0.219 0.386
Sb 0.328 0.614 0.781
Sb 0.828 0.781 0.614
Sb 0.672 0.386 0.219

---

What are the relative energies? In eV/atom: one 0.000; two 0.017.

---

## one
Entry from the Alexandria database: CsGa3Sb3 after structural relaxation (GGA-PBE).

Computed properties:
SG: Pm-3n (223)

Cell lengths 7.768, 7.768, 7.768 Å; angles 90.00, 90.00, 90.00 degrees
Atoms (fractional coordinates):
Cs 0.500 0.500 0.500
Cs 0.000 0.000 0.000
Sb 0.000 0.250 0.500
Sb 0.000 0.750 0.500
Sb 0.500 0.000 0.750
Sb 0.750 0.500 0.000
Sb 0.500 0.000 0.250
Sb 0.250 0.500 0.000
Ga 0.250 0.000 0.500
Ga 0.000 0.500 0.250
Ga 0.500 0.750 0.000
Ga 0.750 0.000 0.500
Ga 0.000 0.500 0.750
Ga 0.500 0.250 0.000

---

## two
Entry from the Alexandria database: CsGa3Sb3 after structural relaxation (GGA-PBE).

Computed properties:
SG: R-3 (148)

Cell lengths 7.919, 7.919, 10.486 Å; angles 67.81, 67.81, 60.00 degrees
Atoms (fractional coordinates):
Cs 0.333 0.333 0.000
Cs 0.667 0.667 0.000
Ga 0.468 0.794 0.607
Ga 0.794 0.131 0.607
Ga 0.131 0.468 0.607
Ga 0.869 0.532 0.393
Ga 0.206 0.869 0.393
Ga 0.532 0.206 0.393
Sb 0.227 0.569 0.306
Sb 0.898 0.227 0.306
Sb 0.569 0.898 0.306
Sb 0.431 0.102 0.694
Sb 0.102 0.773 0.694
Sb 0.773 0.431 0.694

---

What are the relative energies? In eV/atom: one 0.000; two 0.019.

---

## one
Entry from the Alexandria database: CsGaSbTe2 after structural relaxation (GGA-PBE).

Computed properties:
SG: P4/mmm (123)

Cell lengths 6.560, 6.560, 6.369 Å; angles 90.00, 90.00, 90.00 degrees
Atoms (fractional coordinates):
Cs 0.000 0.000 0.000
Sb 0.000 0.000 0.500
Te 0.000 0.500 0.000
Te 0.500 0.000 0.000
Ga 0.500 0.500 0.500

---

## two
Entry from the Alexandria database: CsGaSbTe2 after structural relaxation (GGA-PBE).

Computed properties:
SG: P4/mmm (123)

Cell lengths 5.789, 5.789, 5.363 Å; angles 90.00, 90.00, 90.00 degrees
Atoms (fractional coordinates):
Cs 0.500 0.500 0.500
Sb 0.000 0.000 0.500
Te 0.000 0.500 0.000
Te 0.500 0.000 0.000
Ga 0.000 0.000 0.000

---

What are the relative energies? In eV/atom: one 1.108; two 0.000.

---

## one
Entry from the Alexandria database: CsSc2Ga after structural relaxation (GGA-PBE).

Computed properties:
SG: I4_1/amd (141)

Cell lengths 6.338, 6.338, 9.825 Å; angles 71.18, 71.18, 90.00 degrees
Atoms (fractional coordinates):
Cs 0.000 0.000 0.000
Cs 0.750 0.250 0.500
Sc 0.375 0.125 0.250
Sc 0.375 0.625 0.250
Sc 0.375 0.625 0.750
Sc 0.875 0.625 0.750
Ga 0.500 0.500 0.000
Ga 0.250 0.750 0.500

---

## two
Entry from the Alexandria database: CsSc2Ga after structural relaxation (GGA-PBE).

Computed properties:
SG: R-3m (166)

Cell lengths 11.249, 11.249, 11.249 Å; angles 17.93, 17.93, 17.93 degrees
Atoms (fractional coordinates):
Cs 0.000 0.000 0.000
Sc 0.892 0.892 0.892
Sc 0.108 0.108 0.108
Ga 0.500 0.500 0.500

---

What are the relative energies? In eV/atom: one 0.413; two 0.000.

---

## one
Entry from the Alexandria database: Cs2GaSe2 after structural relaxation (GGA-PBE).

Computed properties:
SG: P4/mbm (127)

Cell lengths 8.148, 8.148, 5.571 Å; angles 90.00, 90.00, 90.00 degrees
Atoms (fractional coordinates):
Cs 0.150 0.650 0.500
Cs 0.650 0.850 0.500
Cs 0.850 0.350 0.500
Cs 0.350 0.150 0.500
Ga 0.000 0.000 0.000
Ga 0.500 0.500 0.000
Se 0.321 0.821 0.000
Se 0.821 0.679 0.000
Se 0.679 0.179 0.000
Se 0.179 0.321 0.000

---

## two
Entry from the Alexandria database: Cs2GaSe2 after structural relaxation (GGA-PBE).

Computed properties:
SG: P2_1/c (14)

Cell lengths 8.135, 9.142, 10.860 Å; angles 90.00, 111.87, 90.00 degrees
Atoms (fractional coordinates):
Cs 0.530 0.251 0.061
Cs 0.030 0.249 0.061
Cs 0.970 0.751 0.939
Cs 0.470 0.749 0.939
Cs 0.911 0.590 0.321
Cs 0.411 0.910 0.321
Cs 0.589 0.090 0.679
Cs 0.089 0.410 0.679
Ga 0.444 0.422 0.391
Ga 0.556 0.578 0.609
Ga 0.944 0.078 0.391
Ga 0.056 0.922 0.609
Se 0.836 0.955 0.175
Se 0.336 0.545 0.175
Se 0.664 0.455 0.825
Se 0.164 0.045 0.825
Se 0.710 0.251 0.421
Se 0.210 0.249 0.421
Se 0.790 0.751 0.579
Se 0.290 0.749 0.579

---

What are the relative energies? In eV/atom: one 0.431; two 0.000.

---

## one
Entry from the Alexandria database: CsGa2Se2 after structural relaxation (GGA-PBE).

Computed properties:
SG: I4/mmm (139)

Cell lengths 5.228, 5.228, 6.262 Å; angles 65.33, 65.33, 90.00 degrees
Atoms (fractional coordinates):
Cs 0.000 0.000 0.000
Ga 0.353 0.353 0.294
Ga 0.647 0.647 0.706
Se 0.750 0.250 0.500
Se 0.250 0.750 0.500

---

## two
Entry from the Alexandria database: CsGa2Se2 after structural relaxation (GGA-PBE).

Computed properties:
SG: I4/mmm (139)

Cell lengths 5.051, 5.051, 7.411 Å; angles 70.08, 70.08, 90.00 degrees
Atoms (fractional coordinates):
Cs 0.000 0.000 0.000
Ga 0.750 0.250 0.500
Ga 0.250 0.750 0.500
Se 0.331 0.331 0.338
Se 0.669 0.669 0.662

---

What are the relative energies? In eV/atom: one 0.020; two 0.000.